Record 1
Here is a geometry-optimized Sr6Au structure from Alexandria via LeMat-Bulk. Energies are from PBE-GGA.

Summary:
**Crystal system**: orthorhombic
**Space-group type**: Pnma

abc: 14.1922 13.0349 7.5046
angles: 90.00 90.00 90.00
Closest atoms and distances in Å follow each position.
Sites, in units of the cell vectors:
Sr  0.0006  0.0812  0.2484  1 Au 3.09
Sr  0.0006  0.4188  0.2484  1 Au 3.09
Sr  0.0012  0.7500  0.2568  1 Au 3.09
Sr  0.2483  0.0823  0.5844  1 Au 3.10
Sr  0.2477  0.2500  0.0830  1 Au 3.10
Sr  0.2483  0.4177  0.5844  1 Au 3.10
Sr  0.2517  0.5823  0.0844  1 Au 3.10
Sr  0.2523  0.7500  0.5830  1 Au 3.10
Sr  0.2517  0.9177  0.0844  1 Au 3.10
Sr  0.4988  0.2500  0.7568  1 Au 3.09
Sr  0.4994  0.5812  0.7484  1 Au 3.09
Sr  0.4994  0.9188  0.7484  1 Au 3.09
Sr  0.5006  0.0812  0.2516  1 Au 3.09
Sr  0.5006  0.4188  0.2516  1 Au 3.09
Sr  0.5012  0.7500  0.2432  1 Au 3.09
Sr  0.7483  0.0823  0.9156  1 Au 3.10
Sr  0.7477  0.2500  0.4170  1 Au 3.10
Sr  0.7483  0.4177  0.9156  1 Au 3.10
Sr  0.7517  0.5823  0.4156  1 Au 3.10
Sr  0.7523  0.7500  0.9170  1 Au 3.10
Sr  0.7517  0.9177  0.4156  1 Au 3.10
Sr  0.9988  0.2500  0.7432  1 Au 3.09
Sr  0.9994  0.5812  0.7516  1 Au 3.09
Sr  0.9994  0.9188  0.7516  1 Au 3.09
Au  0.1247  0.7500  0.9176  6 Sr 3.09-3.10
Au  0.3753  0.2500  0.4176  6 Sr 3.09-3.10
Au  0.6247  0.7500  0.5824  6 Sr 3.09-3.10
Au  0.8753  0.2500  0.0824  6 Sr 3.09-3.10


Record 2
Here is a geometry-optimized SrAu2 structure from Alexandria via LeMat-Bulk. Energies are from PBE-GGA.

Summary:
**Crystal system**: tetragonal
**Space-group type**: P4/mmm

abc: 4.0399 4.0399 5.0217
angles: 90.00 90.00 90.00
Closest atoms and distances in Å follow each position.
Sites, in units of the cell vectors:
Sr  0.0000  0.0000  0.0000  8 Au 3.22
Au  0.0000  0.5000  0.5000  4 Au 2.86
Au  0.5000  0.0000  0.5000  4 Au 2.86


Record 3
Here is a geometry-optimized SrAu3 structure from Alexandria via LeMat-Bulk. Energies are from PBE-GGA.

Summary:
**Crystal system**: orthorhombic
**Space-group type**: Pnma

abc: 8.2299 7.8913 5.8249
angles: 90.00 90.00 90.00
Closest atoms and distances in Å follow each position.
Sites, in units of the cell vectors:
Sr  0.0347  0.2500  0.1224  9 Au 3.13-3.43
Sr  0.4653  0.7500  0.6224  9 Au 3.13-3.43
Sr  0.5347  0.2500  0.3776  9 Au 3.13-3.43
Sr  0.9653  0.7500  0.8776  9 Au 3.13-3.43
Au  0.1194  0.7500  0.3692  6 Au 2.78-2.90
Au  0.1782  0.0568  0.5882  4 Au 2.78-3.05
Au  0.1782  0.4432  0.5882  4 Au 2.78-3.05
Au  0.3218  0.5568  0.0882  4 Au 2.78-3.05
Au  0.3218  0.9432  0.0882  4 Au 2.78-3.05
Au  0.3806  0.2500  0.8692  6 Au 2.78-2.90
Au  0.6194  0.7500  0.1308  6 Au 2.78-2.90
Au  0.6782  0.0568  0.9118  4 Au 2.78-3.05
Au  0.6782  0.4432  0.9118  4 Au 2.78-3.05
Au  0.8218  0.5568  0.4118  4 Au 2.78-3.05
Au  0.8218  0.9432  0.4118  4 Au 2.78-3.05
Au  0.8806  0.2500  0.6308  6 Au 2.78-2.90


Record 4
Here is a geometry-optimized Sr4Au5 structure from Alexandria via LeMat-Bulk. Energies are from PBE-GGA.

Summary:
**Crystal system**: hexagonal
**Space-group type**: P6_3/mcm
**Energy above the most stable polymorph in this dataset**: 0.000 eV per atom

abc: 9.3007 9.3007 6.8786
angles: 90.00 90.00 120.00
Closest atoms and distances in Å follow each position.
Sites, in units of the cell vectors:
Sr  0.0000  0.0000  0.0000  6 Au 3.14, 2 Sr 3.44
Sr  0.0000  0.0000  0.5000  6 Au 3.14, 2 Sr 3.44
Sr  0.0000  0.3838  0.2500  7 Au 3.10-3.37
Sr  0.0000  0.6162  0.7500  7 Au 3.10-3.37
Sr  0.3838  0.0000  0.2500  7 Au 3.10-3.37
Sr  0.3838  0.3838  0.7500  7 Au 3.10-3.37
Sr  0.6162  0.0000  0.7500  7 Au 3.10-3.37
Sr  0.6162  0.6162  0.2500  7 Au 3.10-3.37
Au  0.0000  0.2830  0.7500  5 Sr 3.10-3.21
Au  0.0000  0.7170  0.2500  5 Sr 3.10-3.21
Au  0.2830  0.0000  0.7500  5 Sr 3.10-3.21
Au  0.2830  0.2830  0.2500  5 Sr 3.10-3.21
Au  0.3333  0.6667  0.0000  6 Sr 3.37, 2 Au 3.44
Au  0.3333  0.6667  0.5000  6 Sr 3.37, 2 Au 3.44
Au  0.6667  0.3333  0.0000  6 Sr 3.37, 2 Au 3.44
Au  0.6667  0.3333  0.5000  6 Sr 3.37, 2 Au 3.44
Au  0.7170  0.0000  0.2500  5 Sr 3.10-3.21
Au  0.7170  0.7170  0.7500  5 Sr 3.10-3.21


Record 5
Here is a geometry-optimized SrAu2 structure from Alexandria via LeMat-Bulk. Energies are from PBE-GGA.

Summary:
**Crystal system**: hexagonal
**Space-group type**: P6_3/mmc

abc: 5.3249 5.3249 6.1770
angles: 90.00 90.00 120.00
Closest atoms and distances in Å follow each position.
Sites, in units of the cell vectors:
Sr  0.3333  0.6667  0.2500  11 Au 3.07-3.44
Sr  0.6667  0.3333  0.7500  11 Au 3.07-3.44
Au  0.0000  0.0000  0.0000  8 Au 3.09-3.44, 6 Sr 3.44
Au  0.0000  0.0000  0.5000  8 Au 3.09-3.44, 6 Sr 3.44
Au  0.3333  0.6667  0.7500  5 Sr 3.07-3.09, 6 Au 3.44
Au  0.6667  0.3333  0.2500  5 Sr 3.07-3.09, 6 Au 3.44


Record 6
Here is a geometry-optimized Sr4Au structure from Alexandria via LeMat-Bulk. Energies are from PBE-GGA.

Summary:
**Crystal system**: tetragonal
**Space-group type**: I4/mmm
**Energy above the most stable polymorph in this dataset**: 0.535 eV per atom

abc: 11.1288 11.1288 11.1288
angles: 155.93 155.93 34.30
Closest atoms and distances in Å follow each position.
Sites, in units of the cell vectors:
Sr  0.0845  0.0845  0.0000  1 Sr 3.60, 4 Au 3.74
Sr  0.2500  0.7500  0.5000  4 Sr 3.28
Sr  0.7500  0.2500  0.5000  4 Sr 3.28
Sr  0.9155  0.9155  0.0000  1 Sr 3.60, 4 Au 3.74
Au  0.5000  0.5000  0.0000  8 Sr 3.74


Record 7
Here is a geometry-optimized SrAu2 structure from Alexandria via LeMat-Bulk. Energies are from PBE-GGA.

Summary:
**Crystal system**: orthorhombic
**Space-group type**: Cmcm

abc: 7.5043 7.5043 5.2522
angles: 90.00 90.00 148.85
Closest atoms and distances in Å follow each position.
Sites, in units of the cell vectors:
Sr  0.1056  0.8944  0.7500  10 Au 3.11-3.35
Sr  0.8944  0.1056  0.2500  10 Au 3.11-3.35
Au  0.2211  0.7789  0.2500  2 Au 2.97, 4 Sr 3.11-3.22
Au  0.4296  0.5704  0.7500  2 Au 2.97, 2 Sr 3.25
Au  0.5704  0.4296  0.2500  2 Au 2.97, 2 Sr 3.25
Au  0.7789  0.2211  0.7500  2 Au 2.97, 4 Sr 3.11-3.22


Record 8
Here is a geometry-optimized SrAu3 structure from Alexandria via LeMat-Bulk. Energies are from PBE-GGA.

Summary:
**Crystal system**: cubic
**Space-group type**: Pm-3m

abc: 4.4914 4.4914 4.4914
angles: 90.00 90.00 90.00
Closest atoms and distances in Å follow each position.
Sites, in units of the cell vectors:
Sr  0.0000  0.0000  0.0000  12 Au 3.18
Au  0.0000  0.5000  0.5000  4 Sr 3.18, 8 Au 3.18
Au  0.5000  0.0000  0.5000  4 Sr 3.18, 8 Au 3.18
Au  0.5000  0.5000  0.0000  4 Sr 3.18, 8 Au 3.18


In eV per atom, the ΔH_f (0 K) values for the records above are, in order, -0.250, -0.499, -0.566, -0.645, -0.596, 0.194, -0.587, -0.388.